one:
# HgSbPt

Crystalline HgSbPt at its relaxed geometry (PBE, the Alexandria database).

Geometry as POSCAR:
```
HgSbPt
1.0
-3.9547 -4.7852 -2.3354
-0.6673 -3.6360 -5.5069
3.4674 2.5088 5.0670
Hg Pt Sb
1 1 1
direct
0.0187 0.0187 0.0000 Hg
0.6803 0.6803 0.0000 Pt
0.3010 0.3010 0.0000 Sb
```

Volume in A^3/atom: 22.63
Magnetic moment in μB per atom: 0.00
Fermi-level density of states in states/eV/f.u.: 1.6

***

two:
# HgSbPt

Crystalline HgSbPt at its relaxed geometry (PBE, the Alexandria database).

Geometry as POSCAR:
```
HgSbPt
1.0
-3.6228 0.3650 1.1557
1.9343 -3.2049 0.7620
1.7916 2.2478 4.9062
Hg Pt Sb
1 1 1
direct
0.0000 0.0000 0.0300 Hg
0.6667 0.3333 0.3580 Pt
0.3333 0.6667 0.6120 Sb
```

Volume in A^3/atom: 23.95
Magnetic moment in μB per atom: 0.00
Fermi-level density of states in states/eV/f.u.: 1.0

***

Among the structures above, stability is smallest for one.